No. 1
This record from Alexandria describes a relaxed Cr2HOsPt crystal. The functional is PBE-GGA.

Structure (POSCAR):
```
Cr2HOsPt
1.0
-1.1400 -0.5991 3.6072
2.6674 -2.7208 0.3911
2.4694 2.5951 1.2115
H Cr Os Pt
1 2 1 1
Cartesian
0.0000 0.0000 0.0000
-0.5700 -0.2996 1.8036
1.3337 -1.3604 0.1956
1.2347 1.2975 0.6057
1.9984 -0.3624 2.6049
```

Calculated values
Total energy   -7.9948 eV per atom
Total magnetization   1.22 μB per formula unit
Crystal system   tetragonal
Space-group type   No. 123


No. 2
This record from Alexandria describes a relaxed Sr2ZrHg crystal. The functional is PBE-GGA.

Structure (POSCAR):
```
Sr2ZrHg
1.0
-2.1210 3.8525 -4.6413
-5.2185 3.3325 1.5949
5.6870 -1.0160 2.7400
Sr Zr Hg
2 1 1
Cartesian
0.0000 0.0000 0.0000
-1.6006 2.9546 1.4059
-3.6698 3.5925 -1.5232
-0.0519 3.2146 -1.7122
```

Calculated values
Total magnetization   3.16 μB per formula unit
E_form   319 meV/atom
Crystal system   tetragonal
Space-group type   No. 119


No. 3
This record from Alexandria describes a relaxed La2YBi crystal. The functional is PBE-GGA.

Structure (POSCAR):
```
La2YBi
1.0
-3.9067 -0.4496 1.9264
1.0659 -4.0708 1.2116
2.6788 2.4914 6.0140
La Bi Y
2 1 1
Cartesian
2.0636 1.9192 4.6329
0.6152 0.5721 1.3811
-1.4204 -2.2602 1.5690
-0.0810 -1.0145 4.5760
```

Calculated values
Total magnetization   0.00 μB per formula unit
E_form   -426 meV/atom
Crystal system   tetragonal
Space-group type   No. 123


No. 4
This record from Alexandria describes a relaxed Tb2NiP4Ir3 crystal. The functional is PBE-GGA.

Structure (POSCAR):
```
Tb2NiP4Ir3
1.0
4.1450 0.0000 0.0000
0.0000 4.1450 0.0000
0.0000 0.0000 9.3875
Ir P Tb Ni
3 4 2 1
Cartesian
0.0000 0.0000 4.6937
0.0000 2.0725 1.0904
2.0725 0.0000 8.2970
0.0000 2.0725 3.4481
2.0725 2.0725 0.0000
2.0725 0.0000 5.9394
0.0000 0.0000 0.0000
2.0725 0.0000 2.3142
0.0000 2.0725 7.0732
2.0725 2.0725 4.6937
```

Calculated values
Total magnetization   0.00 μB per formula unit
E_form   -963 meV/atom
Crystal system   tetragonal
Space-group type   No. 115


No. 5
This record from Alexandria describes a relaxed Nd2Zn3In crystal. The functional is PBE-GGA.

Structure (POSCAR):
```
Nd2Zn3In
1.0
-0.5623 2.7496 5.2935
3.1593 -4.8838 1.4369
5.5417 5.0909 -4.7286
Zn Nd In
6 4 2
Cartesian
1.4549 1.5260 4.1271
2.2317 1.3128 -0.4448
3.3502 -2.3613 2.1631
6.6838 1.4307 -2.1254
5.9070 1.6438 2.4466
4.7885 5.3180 -0.1614
4.9997 -0.4300 0.0367
3.1389 3.3867 1.9650
0.6243 -0.5131 1.6180
1.9726 -1.6211 5.1123
3.5545 0.2600 2.9155
4.5841 2.6966 -0.9137
```

Calculated values
Total magnetization   0.00 μB per formula unit
E_form   -387 meV/atom
Crystal system   orthorhombic
Space-group type   No. 69


No. 6
This record from Alexandria describes a relaxed AcY5Mg6 crystal. The functional is PBE-GGA.

Structure (POSCAR):
```
AcY5Mg6
1.0
5.2261 0.0220 -1.5251
-1.0609 6.7946 -3.5383
-0.0924 0.4831 9.4077
Mg Y Ac
6 5 1
Cartesian
1.8349 4.9983 -3.3598
4.1788 0.9331 4.6165
0.4057 3.0885 1.4349
3.6671 4.2112 2.9094
-0.1060 6.3666 -0.2722
2.3303 1.8184 -1.7036
0.8032 6.0050 2.8386
-0.5305 3.3973 -1.7691
2.7501 4.7134 -0.2256
1.3227 2.5863 4.5699
3.2696 1.2947 1.5057
0.0000 0.0000 0.0000
```

Calculated values
Total magnetization   0.00 μB per formula unit
E_form   -89 meV/atom
Crystal system   orthorhombic
Space-group type   No. 71